Computed, not measured: an optimized crystal structure of CoRe2BiRh at the GGA-PBEsol level of DFT.

Properties
Electronic total energy = -37.73 eV for the cell shown
Energy relative to the elements = 1.82 eV per atom
M_tot = 3.27 Bohr magnetons per cell

```
5
Lattice="4.520 0.000 0.000 0.000 4.672 0.000 0.000 0.000 4.672" Properties=species:S:1:pos:R:3 pbc="T T T"
Re 0.000 0.000 2.336
Re 0.000 2.336 0.000
Rh 0.000 0.000 0.000
Bi 2.260 2.336 2.336
Co 2.260 0.000 0.000
```

=====

Computed, not measured: an optimized crystal structure of Co2TcBiRh at the GGA-PBEsol level of DFT.

Properties
Electronic total energy = -32.57 eV for the cell shown
Energy relative to the elements = 1.32 eV per atom
M_tot = 4.68 Bohr magnetons per cell

```
5
Lattice="-2.145 0.865 -3.881 -3.315 -2.824 1.203 -2.227 3.467 2.003" Properties=species:S:1:pos:R:3 pbc="T T T"
Co -1.658 -1.412 0.601
Co -1.072 0.432 -1.941
Rh 0.000 0.000 0.000
Bi -3.843 0.754 -0.338
Tc -1.113 1.734 1.001
```

=====

Computed, not measured: an optimized crystal structure of ZrCoBiRh2 at the GGA-PBEsol level of DFT.

Properties
Electronic total energy = -30.38 eV for the cell shown
Energy relative to the elements = 1.40 eV per atom
M_tot = 2.18 Bohr magnetons per cell

```
5
Lattice="4.644 0.000 0.000 0.000 4.644 0.000 0.000 0.000 5.501" Properties=species:S:1:pos:R:3 pbc="T T T"
Co 2.322 2.322 2.750
Rh 0.000 2.322 0.000
Rh 2.322 0.000 0.000
Bi 0.000 0.000 2.750
Zr 0.000 0.000 0.000
```

=====

Computed, not measured: an optimized crystal structure of CoBiRu3 at the GGA-PBEsol level of DFT.

Properties
Electronic total energy = -29.16 eV for the cell shown
Energy relative to the elements = 2.68 eV per atom
M_tot = 5.93 Bohr magnetons per cell

```
5
Lattice="-3.084 -1.533 -3.408 2.340 -4.238 -0.211 -2.914 -1.780 3.438" Properties=species:S:1:pos:R:3 pbc="T T T"
Ru 1.170 -2.119 -0.105
Ru -1.457 -0.890 1.719
Ru -1.542 -0.767 -1.704
Co -1.829 -3.775 -0.091
Bi 0.000 0.000 0.000
```

=====

Computed, not measured: an optimized crystal structure of CoBi2S at the GGA-PBEsol level of DFT.

Properties
Electronic total energy = -38.89 eV for the cell shown
M_tot = 0.01 Bohr magnetons per cell

```
8
Lattice="6.008 0.000 0.000 0.000 6.008 0.000 -3.004 -3.004 6.031" Properties=species:S:1:pos:R:3 pbc="T T T"
S 3.004 0.000 3.015
S 3.004 3.004 0.000
Co 0.000 3.004 3.015
Co 0.000 0.000 0.000
Bi 1.197 4.506 1.508
Bi 4.811 1.502 1.508
Bi -1.502 -1.807 4.523
Bi 1.502 1.807 4.523
```

=====

Computed, not measured: an optimized crystal structure of Co2SnBiS at the GGA-PBEsol level of DFT.

Properties
Electronic total energy = -21.66 eV for the cell shown
M_tot = 4.09 Bohr magnetons per cell

```
5
Lattice="4.674 0.000 0.000 0.000 4.674 0.000 0.000 0.000 5.761" Properties=species:S:1:pos:R:3 pbc="T T T"
S 2.337 2.337 2.881
Co 0.000 2.337 0.000
Co 2.337 0.000 0.000
Bi 0.000 0.000 2.881
Sn 0.000 0.000 0.000
```

=====

Computed, not measured: an optimized crystal structure of CoBi2Sb at the GGA-PBEsol level of DFT.

Properties
Electronic total energy = -38.29 eV for the cell shown
M_tot = 0.00 Bohr magnetons per cell

```
8
Lattice="6.299 0.000 0.000 0.000 6.299 0.000 -3.149 -3.149 6.190" Properties=species:S:1:pos:R:3 pbc="T T T"
Sb 0.000 3.149 3.095
Sb 0.000 0.000 0.000
Co 3.149 0.000 3.095
Co 3.149 3.149 0.000
Bi 2.039 4.724 1.548
Bi 4.260 1.575 1.548
Bi -1.575 -1.111 4.643
Bi 1.575 1.111 4.643
```

=====

Computed, not measured: an optimized crystal structure of Sc2ZnCoBi at the GGA-PBEsol level of DFT.

Properties
Electronic total energy = -21.15 eV for the cell shown
Energy relative to the elements = 1.13 eV per atom
M_tot = 1.33 Bohr magnetons per cell

```
5
Lattice="4.913 0.000 0.000 0.000 5.382 0.000 0.000 0.000 5.382" Properties=species:S:1:pos:R:3 pbc="T T T"
Sc 0.000 0.000 2.691
Sc 0.000 2.691 0.000
Zn 2.457 0.000 0.000
Co 2.457 2.691 2.691
Bi 0.000 0.000 0.000
```